Entry 1:
DFT (GGA-PBE) results for PIrAuC after structural relaxation.

```
PIrAuC
1.0
3.642 0.000 0.000
0.848 3.646 0.000
0.215 0.978 5.383
P Ir Au C
1 1 1 1
direct
0.000 0.000 0.000
0.481 0.206 0.751
0.089 0.880 0.430
0.290 0.714 0.812
```

magnetization	0.00	Bohr magnetons per cell
energy relative to the lowest polymorph listed for this composition	0.090	eV/atom
space group	No. 1
energy of formation	464.4	meV per atom


Entry 2:
DFT (GGA-PBE) results for Bi2SbBr after structural relaxation.

```
Bi2SbBr
1.0
1.961 1.132 9.404
-1.961 1.132 9.404
0.000 -2.265 9.404
Bi Sb Br
2 1 1
direct
0.245 0.245 0.245
0.755 0.755 0.755
0.500 0.500 0.500
0.000 0.000 0.000
```

magnetization	0.00	Bohr magnetons per cell
formation energy without anion corrections	-0.13	eV/f.u.
energy relative to the lowest polymorph listed for this composition	0.011	eV/atom
space group	No. 166


Entry 3:
DFT (GGA-PBE) results for Co2AsRh after structural relaxation.

```
Co2AsRh
1.0
2.867 0.000 0.000
0.000 2.867 0.000
0.000 0.000 6.227
Co As Rh
2 1 1
direct
0.000 0.000 0.226
0.000 0.000 0.774
0.500 0.500 0.000
0.500 0.500 0.500
```

magnetization	3.19	Bohr magnetons per cell
space group	No. 123
energy of formation	81.6	meV per atom


Entry 4:
DFT (GGA-PBE) results for LaPr2Ga after structural relaxation.

```
LaPr2Ga
1.0
2.161 -6.140 0.000
2.161 6.140 0.000
0.000 0.000 9.585
La Pr Ga
2 4 2
direct
0.062 0.938 0.750
0.938 0.062 0.250
0.357 0.643 0.549
0.357 0.643 0.951
0.643 0.357 0.049
0.643 0.357 0.451
0.246 0.754 0.250
0.754 0.246 0.750
```

magnetization	0.00	Bohr magnetons per cell
energy relative to the lowest polymorph listed for this composition	0.005	eV/atom
space group	No. 63
energy of formation	-248.2	meV per atom


Repeat the fourth record exactly.
DFT (GGA-PBE) results for LaPr2Ga after structural relaxation.

```
LaPr2Ga
1.0
2.161 -6.140 0.000
2.161 6.140 0.000
0.000 0.000 9.585
La Pr Ga
2 4 2
direct
0.062 0.938 0.750
0.938 0.062 0.250
0.357 0.643 0.549
0.357 0.643 0.951
0.643 0.357 0.049
0.643 0.357 0.451
0.246 0.754 0.250
0.754 0.246 0.750
```

magnetization	0.00	Bohr magnetons per cell
energy relative to the lowest polymorph listed for this composition	0.005	eV/atom
space group	No. 63
energy of formation	-248.2	meV per atom


> Look up the magnetization of the third one.

3.19 Bohr magnetons per cell


> Number 2 is which compound?

Bi2SbBr


> What is the magnetization in the fourth record?

0.00 Bohr magnetons per cell